No. 1
Entry from Alexandria: a relaxed LaSiMo crystal (PBE-GGA).

a = 3.983 Å, b = 3.983 Å, c = 8.255 Å
α = 90.00°, β = 90.00°, γ = 90.00°
Space group P4/nmm (No. 129, origin choice 2)
Inequivalent atoms, fractional coordinates:
La: 0.250 0.250 0.152 x2
Si: 0.250 0.250 0.705 x2
Mo: 0.250 0.750 0.500 x2

Calculated values
VASP energy in eV per atom: -7.4901
Size of the total moment in μB per atom: 0.000
Calculated volume in A^3/atom: 21.8
E_form (uncorrected) in eV per atom: -0.430

***

No. 2
Entry from Alexandria: a relaxed Na2TlSn2Br7 crystal (PBE-GGA).

a = 5.991 Å, b = 24.235 Å, c = 6.024 Å
α = 90.00°, β = 90.00°, γ = 90.00°
Space group Imm2 (No. 44)
Inequivalent atoms, fractional coordinates:
Na: 0.000 0.249 0.000 x4
Tl: 0.000 0.000 0.703 x2
Sn: 0.000 0.377 0.489 x4
Br: 0.000 0.120 0.993 x4
Br: 0.000 0.255 0.500 x4
Br: 0.000 0.373 0.027 x4
Br: 0.000 0.500 0.450 x2

Calculated values
VASP energy in eV per atom: -3.0945
Size of the total moment in μB per atom: 0.000
Calculated volume in A^3/atom: 36.4
E_form (uncorrected) in eV per atom: -1.034

***

No. 3
Entry from Alexandria: a relaxed Ac8Co2Ag crystal (PBE-GGA).

a = 12.627 Å, b = 7.623 Å, c = 9.428 Å
α = 90.00°, β = 90.19°, γ = 90.00°
Space group C2/m (No. 12)
Inequivalent atoms, fractional coordinates:
Ac: 0.081 0.000 0.330 x4
Ac: 0.150 0.500 0.449 x4
Ac: 0.156 0.252 0.830 x8
Co: 0.138 0.000 0.617 x4
Ag: 0.000 0.000 0.000 x2

Calculated values
VASP energy in eV per atom: -4.3517
Size of the total moment in μB per atom: 0.000
Calculated volume in A^3/atom: 41.2
ΔE_f in meV per atom: 187

***

No. 4
Entry from Alexandria: a relaxed LaPrSe crystal (PBE-GGA).

a = 4.1134 Å, b = 4.1134 Å, c = 6.8442 Å
α = 90.00°, β = 90.00°, γ = 120.00°
Space group P3m1 (No. 156)
Inequivalent atoms, fractional coordinates:
La: 0.0000 0.0000 0.0000 x1
Pr: 0.3333 0.6667 0.5436 x1
Se: 0.6667 0.3333 0.2736 x1

Calculated values
VASP energy in eV per atom: -5.5253
Size of the total moment in μB per atom: 0.505
Calculated volume in A^3/atom: 33.4
E_form (uncorrected) in eV per atom: -1.128

***

No. 5
Entry from Alexandria: a relaxed BaAlW3 crystal (PBE-GGA).

a = 4.835 Å, b = 4.835 Å, c = 4.835 Å
α = 90.00°, β = 90.00°, γ = 90.00°
Space group Pm-3m (No. 221)
Inequivalent atoms, fractional coordinates:
Ba: 0.000 0.000 0.000 x1
Al: 0.500 0.500 0.500 x1
W: 0.000 0.500 0.500 x3

Calculated values
VASP energy in eV per atom: -6.9292
Size of the total moment in μB per atom: 0.000
Calculated volume in A^3/atom: 22.6
ΔE_f in meV per atom: 1976

***

No. 6
Entry from Alexandria: a relaxed CaPt2Br crystal (PBE-GGA).

a = 10.695 Å, b = 3.502 Å, c = 4.354 Å
α = 90.00°, β = 95.35°, γ = 90.00°
Space group C2/m (No. 12)
Inequivalent atoms, fractional coordinates:
Ca: 0.000 0.000 0.000 x2
Pt: 0.232 0.500 0.233 x4
Br: 0.000 0.500 0.500 x2

Calculated values
VASP energy in eV per atom: -4.4397
Size of the total moment in μB per atom: 0.000
Calculated volume in A^3/atom: 20.3
E_form (uncorrected) in eV per atom: -0.501